[1]
# CaMgTl2

An optimized crystal structure of CaMgTl2 (GGA-PBE, Alexandria via LeMat-Bulk).

Cell and atoms, written as CIF:
```
data_CaMgTl2
_symmetry_space_group_name_H-M 'P m m 2'
_symmetry_Int_Tables_number 25
_cell_length_a 3.850
_cell_length_b 4.275
_cell_length_c 6.925
_cell_angle_alpha 90.00
_cell_angle_beta 90.00
_cell_angle_gamma 90.00
loop_
_symmetry_equiv_pos_as_xyz
'x,y,z'
'-x,-y,z'
'-x,y,z'
'x,-y,z'
loop_
_atom_site_label
_atom_site_type_symbol
_atom_site_fract_x
_atom_site_fract_y
_atom_site_fract_z
Ca1 Ca 0.000 0.000 0.000
Mg1 Mg 0.500 0.500 0.292
Tl1 Tl 0.000 0.000 0.488
Tl2 Tl 0.500 0.500 0.756
```

Formation energy   -154 meV per atom
DOS(E_F)   1.8 states/eV/cell
Total energy   -2.24 eV/atom
M_tot   0.00 μB/cell


[2]
# CaMg3Tl4

An optimized crystal structure of CaMg3Tl4 (GGA-PBE, Alexandria via LeMat-Bulk).

Cell and atoms, written as CIF:
```
data_CaMg3Tl4
_symmetry_space_group_name_H-M 'P m m a'
_symmetry_Int_Tables_number 51
_cell_length_a 10.387
_cell_length_b 7.621
_cell_length_c 5.193
_cell_angle_alpha 90.00
_cell_angle_beta 90.00
_cell_angle_gamma 90.00
loop_
_symmetry_equiv_pos_as_xyz
'x,y,z'
'-x,-y,-z'
'-x+1/2,-y,z'
'x+1/2,y,-z'
'x+1/2,-y,-z'
'-x+1/2,y,z'
'-x,y,-z'
'x,-y,z'
loop_
_atom_site_label
_atom_site_type_symbol
_atom_site_fract_x
_atom_site_fract_y
_atom_site_fract_z
Ca1 Ca 0.000 0.000 0.000
Mg1 Mg 0.000 0.500 0.000
Mg2 Mg 0.250 0.000 0.494
Mg3 Mg 0.250 0.500 0.492
Tl1 Tl 0.000 0.263 0.500
Tl2 Tl 0.250 0.263 0.994
```

Formation energy   -154 meV per atom
DOS(E_F)   5.4 states/eV/cell
Total energy   -2.19 eV/atom
M_tot   0.00 μB/cell


[3]
# CaMgTl2

An optimized crystal structure of CaMgTl2 (GGA-PBE, Alexandria via LeMat-Bulk).

Cell and atoms, written as CIF:
```
data_CaMgTl2
_symmetry_space_group_name_H-M 'P 1 2/m 1'
_symmetry_Int_Tables_number 10
_cell_length_a 3.740
_cell_length_b 3.731
_cell_length_c 7.615
_cell_angle_alpha 90.00
_cell_angle_beta 90.12
_cell_angle_gamma 90.00
loop_
_symmetry_equiv_pos_as_xyz
'x,y,z'
'-x,-y,-z'
'-x,y,-z'
'x,-y,z'
loop_
_atom_site_label
_atom_site_type_symbol
_atom_site_fract_x
_atom_site_fract_y
_atom_site_fract_z
Ca1 Ca 0.000 0.000 0.000
Mg1 Mg 0.000 0.000 0.500
Tl1 Tl 0.499 0.500 0.726
```

Formation energy   -257 meV per atom
DOS(E_F)   1.1 states/eV/cell
Total energy   -2.34 eV/atom
M_tot   0.00 μB/cell


[4]
# CaMgTl2

An optimized crystal structure of CaMgTl2 (GGA-PBE, Alexandria via LeMat-Bulk).

Cell and atoms, written as CIF:
```
data_CaMgTl2
_symmetry_space_group_name_H-M 'R -3 m'
_symmetry_Int_Tables_number 166
_symmetry_space_group_name_Hall '-R 3 2"'
_cell_length_a 3.6566
_cell_length_b 3.6566
_cell_length_c 29.4581
_cell_angle_alpha 90.00
_cell_angle_beta 90.00
_cell_angle_gamma 120.00
loop_
_atom_site_label
_atom_site_type_symbol
_atom_site_fract_x
_atom_site_fract_y
_atom_site_fract_z
Ca1 Ca 0.0000 0.0000 0.0000
Mg1 Mg 0.0000 0.0000 0.5000
Tl1 Tl 0.0000 0.0000 0.2455
```

Formation energy   -137 meV per atom
DOS(E_F)   9.7 states/eV/cell
Total energy   -2.22 eV/atom
M_tot   0.00 μB/cell


[5]
# CaMgTl3

An optimized crystal structure of CaMgTl3 (GGA-PBE, Alexandria via LeMat-Bulk).

Cell and atoms, written as CIF:
```
data_CaMgTl3
_symmetry_space_group_name_H-M 'C m c m'
_symmetry_Int_Tables_number 63
_symmetry_space_group_name_Hall '-C 2c 2'
_cell_length_a 3.650
_cell_length_b 29.121
_cell_length_c 5.386
_cell_angle_alpha 90.00
_cell_angle_beta 90.00
_cell_angle_gamma 90.00
loop_
_atom_site_label
_atom_site_type_symbol
_atom_site_fract_x
_atom_site_fract_y
_atom_site_fract_z
Ca1 Ca 0.000 0.070 0.250
Mg1 Mg 0.000 0.370 0.250
Tl1 Tl 0.000 0.220 0.750
Tl2 Tl 0.000 0.329 0.750
Tl3 Tl 0.000 0.469 0.250
```

Formation energy   -146 meV per atom
DOS(E_F)   9.1 states/eV/cell
Total energy   -2.28 eV/atom
M_tot   0.00 μB/cell


[6]
# CaMgTl2

An optimized crystal structure of CaMgTl2 (GGA-PBE, Alexandria via LeMat-Bulk).

Cell and atoms, written as CIF:
```
data_CaMgTl2
_symmetry_space_group_name_H-M 'C 1 m 1'
_symmetry_Int_Tables_number 8
_cell_length_a 11.590
_cell_length_b 3.789
_cell_length_c 5.359
_cell_angle_alpha 90.00
_cell_angle_beta 107.19
_cell_angle_gamma 90.00
loop_
_symmetry_equiv_pos_as_xyz
'x,y,z'
'x,-y,z'
'x+1/2,y+1/2,z'
'x+1/2,-y+1/2,z'
loop_
_atom_site_label
_atom_site_type_symbol
_atom_site_fract_x
_atom_site_fract_y
_atom_site_fract_z
Ca1 Ca 0.000 0.000 0.000
Mg1 Mg 0.236 0.000 0.663
Tl1 Tl 0.251 0.500 0.185
Tl2 Tl 0.496 0.000 0.503
```

Formation energy   -193 meV per atom
DOS(E_F)   3.4 states/eV/cell
Total energy   -2.28 eV/atom
M_tot   0.00 μB/cell


> Among the records above, which one has the lowest formation energy?

number 3


> The highest total energy belongs to which entry?

CaMg3Tl4


> M_tot of number 4 (CaMgTl2)?

0.00 μB/cell